(1)
Ac2MnTl | PBE | optimized geometry

Cell lengths 3.734, 3.734, 11.981 Å; angles 81.04, 81.04, 60.00 degrees
Each line ends with the local moment (μB).
Positions (direct):
1 Ac 0.087 0.087 0.739  -0.14
2 Ac 0.913 0.913 0.261  -0.14
3 Mn 0.000 0.000 0.000  3.94
4 Tl 0.500 0.500 0.500  0.00

Summary:
The calculation puts the total magnetization at 3.4 μB per formula unit. For the formation energy, the calculation gives 0.55 eV/atom.

=====

(2)
KLiP2O6 | PBE | optimized geometry

Cell lengths 9.912, 9.912, 12.011 Å; angles 90.26, 90.26, 90.50 degrees
Positions (direct):
1 K 0.747 0.000 0.528
2 K 0.000 0.253 0.972
3 K 0.253 0.000 0.472
4 K 0.000 0.747 0.028
5 K 0.468 0.222 0.956
6 K 0.778 0.532 0.544
7 K 0.532 0.778 0.044
8 K 0.222 0.468 0.456
9 Li 0.388 0.228 0.628
10 Li 0.772 0.612 0.872
11 Li 0.612 0.772 0.372
12 Li 0.228 0.388 0.128
13 Li 0.256 0.884 0.931
14 Li 0.116 0.744 0.569
15 Li 0.744 0.116 0.069
16 Li 0.884 0.256 0.431
17 O 0.449 0.557 0.643
18 O 0.443 0.551 0.857
19 O 0.551 0.443 0.357
20 O 0.557 0.449 0.143
21 O 0.451 0.791 0.717
22 O 0.209 0.549 0.783
23 O 0.549 0.209 0.283
24 O 0.791 0.451 0.217
25 O 0.633 0.969 0.745
26 O 0.031 0.367 0.755
27 O 0.367 0.031 0.255
28 O 0.969 0.633 0.245
29 O 0.871 0.948 0.742
30 O 0.052 0.129 0.758
31 O 0.129 0.052 0.258
32 O 0.948 0.871 0.242
33 O 0.477 0.337 0.742
34 O 0.663 0.523 0.758
35 O 0.523 0.663 0.258
36 O 0.337 0.477 0.242
37 O 0.574 0.741 0.534
38 O 0.259 0.426 0.966
39 O 0.426 0.259 0.466
40 O 0.741 0.574 0.034
41 O 0.728 0.313 0.042
42 O 0.687 0.272 0.458
43 O 0.272 0.687 0.958
44 O 0.313 0.728 0.542
45 O 0.421 0.964 0.865
46 O 0.036 0.579 0.635
47 O 0.579 0.036 0.135
48 O 0.964 0.421 0.365
49 O 0.418 0.036 0.656
50 O 0.964 0.582 0.844
51 O 0.582 0.964 0.344
52 O 0.036 0.418 0.156
53 O 0.742 0.808 0.888
54 O 0.192 0.258 0.612
55 O 0.258 0.192 0.112
56 O 0.808 0.742 0.388
57 O 0.765 0.066 0.912
58 O 0.934 0.235 0.588
59 O 0.235 0.934 0.088
60 O 0.066 0.765 0.412
61 O 0.086 0.916 0.641
62 O 0.084 0.914 0.859
63 O 0.914 0.084 0.359
64 O 0.916 0.086 0.141
65 P 0.517 0.483 0.750
66 P 0.483 0.517 0.250
67 P 0.447 0.712 0.598
68 P 0.288 0.553 0.902
69 P 0.553 0.288 0.402
70 P 0.712 0.447 0.098
71 P 0.470 0.949 0.748
72 P 0.051 0.530 0.752
73 P 0.530 0.051 0.252
74 P 0.949 0.470 0.248
75 P 0.753 0.946 0.837
76 P 0.054 0.247 0.663
77 P 0.247 0.054 0.163
78 P 0.946 0.753 0.337
79 P 0.034 0.966 0.750
80 P 0.966 0.034 0.250

Summary:
The calculation puts the total magnetization at 0.0 μB per formula unit. The uncorrected formation energy comes out at -22.85 eV/f.u.

=====

(3)
MnTlGaSe4 | PBE | optimized geometry

Cell lengths 6.662, 6.916, 10.431 Å; angles 90.00, 128.95, 90.00 degrees
Each line ends with the local moment (μB).
Positions (direct):
1 Mn 0.793 0.750 0.455  3.31
2 Mn 0.207 0.250 0.545  3.31
3 Tl 0.675 0.750 0.922  0.00
4 Tl 0.325 0.250 0.078  0.00
5 Ga 0.204 0.750 0.352  0.03
6 Ga 0.796 0.250 0.648  0.03
7 Se 0.098 0.494 0.677  -0.15
8 Se 0.902 0.994 0.323  -0.15
9 Se 0.902 0.506 0.323  -0.15
10 Se 0.098 0.006 0.677  -0.15
11 Se 0.327 0.750 0.179  -0.04
12 Se 0.673 0.250 0.821  -0.04
13 Se 0.625 0.750 0.611  -0.10
14 Se 0.375 0.250 0.389  -0.10

Summary:
The calculation puts the total magnetization at 3.0 μB per formula unit. The uncorrected formation energy comes out at -2.57 eV/f.u.

=====

(4)
La2YHoTl2 | PBE | optimized geometry

Cell lengths 5.861, 6.760, 9.490 Å; angles 90.00, 90.00, 90.00 degrees
Positions (direct):
1 La 0.500 0.941 0.002
2 La 0.000 0.240 0.003
3 La 0.500 0.441 0.998
4 La 0.000 0.740 0.997
5 Y 0.000 0.013 0.362
6 Y 0.000 0.513 0.638
7 Ho 0.500 0.165 0.640
8 Ho 0.500 0.665 0.360
9 Tl 0.000 0.504 0.303
10 Tl 0.500 0.183 0.306
11 Tl 0.000 0.004 0.697
12 Tl 0.500 0.683 0.694

Summary:
The calculation puts the total magnetization at 0.0 μB per formula unit. For the formation energy, the calculation gives -0.10 eV/atom.

=====

(5)
Pr8PIr3I4 | PBE | optimized geometry

Cell lengths 8.565, 9.481, 8.566 Å; angles 116.88, 120.00, 90.00 degrees
Positions (direct):
1 Pr 0.233 0.685 0.952
2 Pr 0.233 0.685 0.466
3 Pr 0.271 0.314 0.542
4 Pr 0.719 0.685 0.952
5 Pr 0.281 0.315 0.048
6 Pr 0.729 0.686 0.458
7 Pr 0.767 0.315 0.534
8 Pr 0.767 0.315 0.048
9 P 0.000 0.500 0.000
10 Ir 0.500 0.500 0.000
11 Ir 0.500 0.500 0.500
12 Ir 0.000 0.500 0.500
13 I 0.500 0.000 0.000
14 I 0.500 0.000 0.500
15 I 0.000 0.000 0.000
16 I 0.000 0.000 0.500

Summary:
The calculation puts the total magnetization at 0.0 μB per formula unit. The uncorrected formation energy comes out at -16.25 eV/f.u.

=====

(6)
SeN2 | PBE | optimized geometry

Cell lengths 2.753, 2.835, 11.575 Å; angles 118.31, 117.18, 90.03 degrees
Positions (direct):
1 Se 0.400 0.567 0.897
2 N 0.782 0.935 0.333
3 N 0.028 0.184 0.461

Summary:
The calculation puts the total magnetization at 0.0 μB per formula unit. The uncorrected formation energy comes out at 0.74 eV/f.u.